SiRuO3 | meta-GGA SCAN | PBEsol geometry

Computed properties:
* ΔE_f (raw): -6.5 eV per formula unit

Cell lengths 3.573, 3.573, 3.573 Å; angles 90.00, 90.00, 90.00 degrees
Atoms (fractional coordinates):
O  0.500  0.000  0.000
O  0.000  0.000  0.500
O  0.000  0.500  0.000
Ru  0.500  0.500  0.500
Si  0.000  0.000  0.000

TaSnRu2O | meta-GGA SCAN | PBEsol geometry

Computed properties:
* ΔE_f (raw): 0.9 eV per formula unit

Cell lengths 3.773, 4.841, 4.841 Å; angles 90.00, 90.00, 90.00 degrees
Atoms (fractional coordinates):
O  0.500  0.000  0.000
Ru  0.000  0.000  0.500
Ru  0.000  0.500  0.000
Sn  0.500  0.500  0.500
Ta  0.000  0.000  0.000

TcSnRu2O | meta-GGA SCAN | PBEsol geometry

Computed properties:
* ΔE_f (raw): 1.8 eV per formula unit

Cell lengths 3.941, 3.941, 4.551 Å; angles 90.00, 90.00, 90.00 degrees
Atoms (fractional coordinates):
O  0.000  0.000  0.000
Ru  0.000  0.500  0.000
Ru  0.500  0.000  0.000
Sn  0.000  0.000  0.500
Tc  0.500  0.500  0.500

In order of appearance, calculated total energy = -0.514, -1.305, -1.066 hartree per atom.